Record 1
## Mg4PdPt2 (PBE)

Data for a relaxed structure of Mg4PdPt2.

Results
For the formation enthalpy at 0 K, the calculation gives -0.61 eV/atom. The calculation puts the final energy at -55.79 eV/cell. The polymorph energy (0 for the lowest one) is 144 meV per atom.

a b c (Å): 6.868 6.868 6.868
angles (deg): 109.69 109.04 109.69
Fractional coordinates of all 14 atoms:
Mg  0.471  0.090  0.223
Pt  0.511  0.386  0.625
Pt  0.375  0.886  0.761
Pt  0.239  0.614  0.125
Mg  0.973  0.590  0.721
Pd  0.750  0.500  0.250
Pd  0.000  0.000  0.000
Mg  0.131  0.410  0.383
Mg  0.279  0.251  0.869
Mg  0.133  0.910  0.381
Mg  0.777  0.249  0.867
Mg  0.617  0.749  0.027
Mg  0.619  0.751  0.529
Pt  0.875  0.114  0.489

---

Record 2
## Li2IrO5 (PBE)

Data for a relaxed structure of Li2IrO5.

Results
As for the formation energy from raw total energies: -0.9878 eV/atom. The calculation puts the final energy at -90.76 eV/cell. The polymorph energy (0 for the lowest one) is 0 meV per atom.

a b c (Å): 5.100 7.625 5.724
angles (deg): 62.41 63.54 70.46
Site moments in Bohr magnetons follow the coordinates.
Fractional coordinates of all 16 atoms:
O  0.985  0.647  0.106  0.02
Ir  0.951  0.284  0.814  0.33
Li  0.315  0.522  0.847  0.01
O  0.177  0.232  0.027  0.19
Ir  0.951  0.784  0.314  0.33
O  0.563  0.732  0.527  0.19
O  0.725  0.335  0.601  0.19
O  0.128  0.534  0.565  0.01
Li  0.316  0.022  0.347  0.01
Li  0.587  0.045  0.782  0.01
Li  0.586  0.545  0.282  0.01
O  0.640  0.420  0.023  0.02
O  0.917  0.920  0.523  0.02
O  0.338  0.835  0.101  0.19
O  0.262  0.147  0.606  0.02
O  0.774  0.034  0.065  0.01

---

Record 3
## ScSbTe2I (PBE)

Data for a relaxed structure of ScSbTe2I.

Results
As for the formation energy from raw total energies: -0.1435 eV/atom. The calculation puts the final energy at -19.00 eV/cell. The polymorph energy (0 for the lowest one) is 0 meV per atom.

a b c (Å): 5.652 5.652 5.430
angles (deg): 90.00 90.00 90.00
Fractional coordinates of all 5 atoms:
Te  0.500  0.000  0.000
Sb  0.500  0.500  0.500
I  0.000  0.000  0.500
Sc  0.000  0.000  0.000
Te  0.000  0.500  0.000

---

Record 4
## InGa2Si (PBE)

Data for a relaxed structure of InGa2Si.

Results
As for the formation energy from raw total energies: 0.1464 eV/atom. The calculation puts the final energy at -13.63 eV/cell. The polymorph energy (0 for the lowest one) is 0 meV per atom.

a b c (Å): 3.933 3.933 6.998
angles (deg): 73.68 73.68 60.00
Fractional coordinates of all 4 atoms:
Ga  0.062  0.062  0.815
In  0.503  0.503  0.490
Ga  0.272  0.272  0.183
Si  0.663  0.663  0.012

---

Record 5
## VIn2GaBr6 (PBE)

Data for a relaxed structure of VIn2GaBr6.

Results
As for the formation energy from raw total energies: -0.6952 eV/atom. The calculation puts the final energy at -34.61 eV/cell.

a b c (Å): 7.722 7.722 7.802
angles (deg): 60.33 60.33 59.99
Site moments in Bohr magnetons follow the coordinates.
Fractional coordinates of all 10 atoms:
Br  0.183  0.015  0.251  -0.03
Ga  0.814  0.814  0.558  -0.01
In  0.538  0.538  0.387  -0.01
Br  0.113  0.458  0.787  -0.03
Br  0.643  0.113  0.787  -0.03
Br  0.015  0.552  0.251  -0.03
Br  0.552  0.183  0.251  -0.03
V  0.324  0.324  0.028  2.00
In  0.023  0.023  0.930  -0.03
Br  0.458  0.643  0.786  -0.03

---

Record 6
## SmSn6Ru (PBE)

Data for a relaxed structure of SmSn6Ru.

Results
For the formation enthalpy at 0 K, the calculation gives -0.17 eV/atom. The calculation puts the final energy at -39.40 eV/cell.

a b c (Å): 6.145 7.727 6.144
angles (deg): 51.04 77.93 70.58
Fractional coordinates of all 8 atoms:
Ru  0.500  0.500  0.000
Sn  0.798  0.202  0.419
Sn  0.798  0.621  0.581
Sn  0.202  0.379  0.419
Sn  0.202  0.798  0.581
Sm  0.000  0.000  0.000
Sn  0.380  0.202  0.000
Sn  0.620  0.798  0.000

---

Record 7
## Cs2PuAsSe4 (PBE)

Data for a relaxed structure of Cs2PuAsSe4.

Results
As for the formation energy from raw total energies: -0.8640 eV/atom. The calculation puts the final energy at -83.08 eV/cell.

a b c (Å): 9.021 9.021 9.012
angles (deg): 119.97 119.97 89.92
Site moments in Bohr magnetons follow the coordinates.
Fractional coordinates of all 16 atoms:
Cs  0.500  0.000  0.000  -0.01
Se  0.765  0.321  0.543  -0.08
Pu  0.000  0.500  0.000  5.11
Pu  0.000  0.500  0.500  5.11
Se  0.230  0.270  0.052  -0.05
Se  0.770  0.730  0.948  -0.05
Se  0.235  0.679  0.457  -0.08
Se  0.821  0.265  0.043  -0.08
Cs  0.000  0.000  0.500  0.00
As  0.500  0.500  0.500  0.05
As  0.000  0.000  0.000  0.05
Se  0.230  0.270  0.448  -0.05
Se  0.179  0.735  0.957  -0.08
Cs  0.500  0.500  0.000  0.00
Cs  0.500  0.000  0.500  -0.01
Se  0.770  0.730  0.552  -0.05

---

Record 8
## K3Ac3NbS8 (PBE)

Data for a relaxed structure of K3Ac3NbS8.

Results
As for the formation energy from raw total energies: -1.6353 eV/atom. The calculation puts the final energy at -83.24 eV/cell.

a b c (Å): 8.506 8.506 8.976
angles (deg): 118.29 90.00 120.00
Site moments in Bohr magnetons follow the coordinates.
Fractional coordinates of all 15 atoms:
K  0.000  0.500  0.000  0.00
Nb  0.000  0.000  0.500  0.79
S  0.791  0.017  0.308  -0.01
S  0.226  0.017  0.308  -0.01
S  0.740  0.480  0.720  0.00
S  0.791  0.582  0.308  -0.01
S  0.209  0.983  0.692  -0.01
K  0.500  0.500  0.000  0.00
S  0.209  0.418  0.692  -0.01
K  0.000  0.000  0.000  0.00
Ac  0.000  0.500  0.500  0.01
S  0.774  0.983  0.692  -0.01
Ac  0.500  0.000  0.500  0.01
Ac  0.500  0.500  0.500  0.01
S  0.260  0.520  0.280  0.00

---

Record 9
## MgSc2TcH (PBE)

Data for a relaxed structure of MgSc2TcH.

Results
The calculation puts the final energy at -28.98 eV/cell.

a b c (Å): 4.714 4.714 3.581
angles (deg): 90.00 90.00 90.00
Fractional coordinates of all 5 atoms:
Tc  0.000  0.000  0.500
Sc  0.500  0.000  0.000
H  0.000  0.000  0.000
Sc  0.000  0.500  0.000
Mg  0.500  0.500  0.500

---

Record 10
## Pm3Sm4TmTe8 (PBE)

Data for a relaxed structure of Pm3Sm4TmTe8.

Results
As for the formation energy from raw total energies: -1.3597 eV/atom. The calculation puts the final energy at -84.49 eV/cell.

a b c (Å): 8.884 8.863 8.877
angles (deg): 120.01 120.02 90.00
Fractional coordinates of all 16 atoms:
Te  0.755  0.253  0.999
Te  0.245  0.747  0.491
Te  0.756  0.747  0.001
Sm  0.500  0.000  0.000
Sm  0.500  0.000  0.500
Te  0.249  0.248  0.499
Pm  0.500  0.500  0.500
Sm  0.000  0.000  0.500
Pm  0.000  0.500  0.500
Tm  0.000  0.500  0.000
Te  0.244  0.253  0.999
Sm  0.000  0.000  0.000
Te  0.245  0.747  0.001
Te  0.755  0.253  0.509
Pm  0.500  0.500  0.000
Te  0.751  0.752  0.501

---

Record 11
## BaCaCl2 (PBE)

Data for a relaxed structure of BaCaCl2.

Results
As for the formation energy from raw total energies: -1.5960 eV/atom. The calculation puts the final energy at -14.00 eV/cell. The polymorph energy (0 for the lowest one) is 100 meV per atom.

a b c (Å): 6.249 6.249 6.249
angles (deg): 142.57 108.63 83.48
Fractional coordinates of all 4 atoms:
Cl  0.546  0.546  0.000
Cl  0.954  0.954  0.000
Ba  0.250  0.750  0.500
Ca  0.750  0.250  0.500

---

Record 12
## DyErHf (PBE)

Data for a relaxed structure of DyErHf.

Results
For the formation enthalpy at 0 K, the calculation gives 0.20 eV/atom. The calculation puts the final energy at -18.52 eV/cell. The polymorph energy (0 for the lowest one) is 110 meV per atom.

a b c (Å): 3.375 5.305 5.305
angles (deg): 120.00 90.00 90.00
Fractional coordinates of all 3 atoms:
Hf  0.167  0.333  0.667
Er  0.166  0.000  0.000
Dy  0.667  0.667  0.333

---

Number 1: Fermi-level density of states 5.4 states/eV/cell. Number 2: Fermi-level density of states 7.1 states/eV/cell. Number 3: Fermi-level density of states 3.8 states/eV/cell. Number 4: Fermi-level density of states 1.5 states/eV/cell. Number 5: Fermi-level density of states 7.7 states/eV/cell. Number 6: Fermi-level density of states 4.2 states/eV/cell. Number 7: Fermi-level density of states 17.6 states/eV/cell. Number 8: Fermi-level density of states 5.5 states/eV/cell. Number 9: Fermi-level density of states 3.3 states/eV/cell. Number 10: Fermi-level density of states 12.1 states/eV/cell. Number 11: Fermi-level density of states 1.0 states/eV/cell. Number 12: Fermi-level density of states 5.6 states/eV/cell.